VASP calculation (PBE) on an optimized crystal structure of PmPrScTl.

Electronic total energy (eV/atom): -4.57
Calculated volume (Å³ per cell): 114.8

Cell lengths 5.456, 5.456, 5.456 Å; angles 60.00, 60.00, 60.00 degrees
Sites, in units of the cell vectors:
Pm (0.000, 0.000, 0.000)
Pr (0.250, 0.250, 0.250)
Sc (0.750, 0.750, 0.750)
Tl (0.500, 0.500, 0.500)